GdPuTh2: optimized geometry, PBE.

D(E_F)   11.4 states/eV/cell
Volume   30.43 A^3/atom
DFT formation energy   0.44 eV/f.u.
Total moment   13.19 μB per formula unit

Lattice parameters (Å, degrees): 5.0239 5.0239 4.8225 90.00 90.00 90.00
Closest atoms and distances in Å follow each position.
Space group P4/mmm (No. 123)
Inequivalent atoms, fractional coordinates:
Gd: 0.0000 0.0000 0.0000 [1 per cell]  8 Th 3.48, 4 Pu 3.55
Pu: 0.5000 0.5000 0.0000 [1 per cell]  8 Th 3.48, 4 Gd 3.55
Th: 0.0000 0.5000 0.5000 [2 per cell]  4 Gd 3.48, 4 Pu 3.48, 4 Th 3.55